[1]
Tm5In4O (PBE-GGA, optimized geometry); SG = No. 79; DOS(E_F) = 7.095 states/eV/cell; total DFT energy (no corrections) = -4.56 eV/atom; formation energy without anion corrections = -0.734 eV per atom
1.0
5.6255 0.0000 0.0000
2.8128 6.5814 0.0000
2.8128 0.0000 6.5814
Tm In O
5 4 1
direct
0.4734 0.0000 0.0000 Tm
0.2164 0.9123 0.6539 Tm
0.8703 0.3461 0.9123 Tm
0.1287 0.6539 0.0877 Tm
0.7826 0.0877 0.3461 Tm
0.4540 0.3894 0.7013 In
0.8434 0.7013 0.6106 In
0.1553 0.2987 0.3894 In
0.5447 0.6106 0.2987 In
0.0414 0.0000 0.0000 O


[2]
Tm2InO (PBE-GGA, optimized geometry); SG = No. 123; DOS(E_F) = 2.663 states/eV/cell; total DFT energy (no corrections) = -5.23 eV/atom; excess energy over the best structure of this formula in the dataset = 0.580 eV per atom; formation energy without anion corrections = -1.073 eV per atom
1.0
3.0748 0.0000 0.0000
0.0000 3.0748 0.0000
0.0000 0.0000 7.8548
In Tm O
1 2 1
direct
0.5000 0.5000 0.5000 In
0.0000 0.0000 0.1962 Tm
0.0000 0.0000 0.8038 Tm
0.5000 0.5000 0.0000 O


[3]
Tm2InO (PBE-GGA, optimized geometry); SG = No. 12; DOS(E_F) = 2.852 states/eV/cell; total DFT energy (no corrections) = -5.81 eV/atom; excess energy over the best structure of this formula in the dataset = 0.000 eV per atom; formation energy without anion corrections = -1.653 eV per atom
1.0
4.4930 -0.0089 -0.2164
-0.0089 4.4930 -0.2164
-0.4176 -0.4176 8.4620
In Tm O
2 4 2
direct
0.3157 0.3157 0.8160 In
0.6843 0.6843 0.1840 In
0.1945 0.1945 0.1725 Tm
0.2523 0.7477 0.5000 Tm
0.7477 0.2523 0.5000 Tm
0.8055 0.8055 0.8275 Tm
0.2305 0.2305 0.4372 O
0.7695 0.7695 0.5628 O


[4]
Tm2InO (PBE-GGA, optimized geometry); SG = No. 166; DOS(E_F) = 1.461 states/eV/cell; total DFT energy (no corrections) = -5.76 eV/atom; excess energy over the best structure of this formula in the dataset = 0.057 eV per atom; formation energy without anion corrections = -1.595 eV per atom
1.0
3.4791 0.0000 0.0000
1.7396 3.0130 0.0000
1.7396 1.0043 7.5831
In O Tm
1 1 2
direct
0.5000 0.5000 0.5000 In
0.0000 0.0000 0.0000 O
0.7237 0.7237 0.8289 Tm
0.2763 0.2763 0.1711 Tm


[5]
TmInO (PBE-GGA, optimized geometry); SG = No. 129; DOS(E_F) = 2.277 states/eV/cell; total DFT energy (no corrections) = -6.20 eV/atom; formation energy without anion corrections = -2.144 eV per atom
1.0
-2.8343 0.7203 2.5766
1.4332 -2.7610 2.3483
4.6041 5.4110 3.5520
O In Tm
2 2 2
direct
0.0000 0.0000 0.0000 O
0.5000 0.5000 0.0000 O
0.5000 0.0000 0.5903 In
0.0000 0.5000 0.4097 In
0.5000 0.0000 0.1311 Tm
0.0000 0.5000 0.8689 Tm


[6]
Tm12In6O (PBE-GGA, optimized geometry); SG = No. 148; DOS(E_F) = 13.939 states/eV/cell; total DFT energy (no corrections) = -4.42 eV/atom; formation energy without anion corrections = -0.471 eV per atom
1.0
8.0638 0.2694 0.3227
-0.9562 8.0115 0.3227
-0.9562 -1.1141 7.9402
Tm In O
12 6 1
direct
0.5304 0.2001 0.4165 Tm
0.9660 0.0768 0.2905 Tm
0.7095 0.0340 0.9232 Tm
0.5835 0.4696 0.7999 Tm
0.2001 0.4165 0.5304 Tm
0.4696 0.7999 0.5835 Tm
0.2905 0.9660 0.0768 Tm
0.7999 0.5835 0.4696 Tm
0.0340 0.9232 0.7095 Tm
0.0768 0.2905 0.9660 Tm
0.4165 0.5304 0.2001 Tm
0.9232 0.7095 0.0340 Tm
0.3624 0.1443 0.7555 In
0.6376 0.8557 0.2445 In
0.2445 0.6376 0.8557 In
0.8557 0.2445 0.6376 In
0.7555 0.3624 0.1443 In
0.1443 0.7555 0.3624 In
0.0000 0.0000 0.0000 O


[7]
Tm3InO6 (PBE-GGA, optimized geometry); SG = No. 148; DOS(E_F) = 0.000 states/eV/cell; total DFT energy (no corrections) = -7.73 eV/atom; formation energy without anion corrections = -3.135 eV per atom
1.0
-6.2448 1.4014 1.5225
0.7960 -3.4425 5.5494
2.1527 5.5146 2.8696
O In Tm
12 2 6
direct
0.3148 0.9065 0.0721 O
0.9065 0.0721 0.3148 O
0.6000 0.8161 0.4687 O
0.4687 0.6000 0.8161 O
0.4000 0.1839 0.5313 O
0.8161 0.4687 0.6000 O
0.1839 0.5313 0.4000 O
0.0721 0.3148 0.9065 O
0.0935 0.9279 0.6852 O
0.6852 0.0935 0.9279 O
0.5313 0.4000 0.1839 O
0.9279 0.6852 0.0935 O
0.0000 0.0000 0.0000 In
0.5000 0.5000 0.5000 In
0.9326 0.7479 0.4411 Tm
0.5589 0.0674 0.2521 Tm
0.0674 0.2521 0.5589 Tm
0.2521 0.5589 0.0674 Tm
0.4411 0.9326 0.7479 Tm
0.7479 0.4411 0.9326 Tm


[8]
TmInO3 (PBE-GGA, optimized geometry); SG = No. 148; DOS(E_F) = 0.000 states/eV/cell; total DFT energy (no corrections) = -6.99 eV/atom; formation energy without anion corrections = -2.576 eV per atom
1.0
-3.1631 3.1850 -3.4249
-1.5164 -1.9575 -5.0742
-5.6619 -1.5381 -0.8558
O In Tm
6 2 2
direct
0.9567 0.2446 0.2499 O
0.4512 0.0433 0.7502 O
0.7554 0.4512 0.7502 O
0.0433 0.7554 0.7501 O
0.2446 0.5488 0.2498 O
0.5488 0.9567 0.2498 O
0.8558 0.8558 0.4326 In
0.1442 0.1442 0.5674 In
0.3584 0.3584 0.9249 Tm
0.6416 0.6416 0.0751 Tm


[9]
TmInO3 (PBE-GGA, optimized geometry); SG = No. 11; DOS(E_F) = 0.000 states/eV/cell; total DFT energy (no corrections) = -6.93 eV/atom; formation energy without anion corrections = -2.511 eV per atom
1.0
-2.5928 -2.4114 0.1349
0.3766 -0.7131 -5.5099
5.3311 -5.5547 3.1721
Tm In O
2 2 6
direct
0.2500 0.4851 0.4177 Tm
0.7500 0.0510 0.5823 Tm
0.2500 0.6363 0.8398 In
0.7500 0.8998 0.1602 In
0.7500 0.2259 0.3683 O
0.2500 0.8154 0.6381 O
0.7500 0.7206 0.3619 O
0.7500 0.5588 0.9499 O
0.2500 0.9773 0.0501 O
0.2500 0.3102 0.6317 O


[10]
TmInO3 (PBE-GGA, optimized geometry); SG = No. 62; DOS(E_F) = 0.000 states/eV/cell; total DFT energy (no corrections) = -6.96 eV/atom; formation energy without anion corrections = -2.542 eV per atom
1.0
-3.6249 3.1990 2.5352
-4.0891 -3.9958 -0.8047
1.9894 -3.4973 7.2576
In O Tm
4 12 4
direct
0.0000 0.5000 0.5000 In
0.0000 0.5000 0.0000 In
0.5000 0.0000 0.5000 In
0.5000 0.0000 0.0000 In
0.8464 0.5779 0.2500 O
0.8105 0.8077 0.9182 O
0.6895 0.3077 0.5818 O
0.3464 0.9221 0.7500 O
0.1895 0.1923 0.0818 O
0.6536 0.0779 0.2500 O
0.1895 0.1923 0.4182 O
0.1536 0.4221 0.7500 O
0.8105 0.8077 0.5818 O
0.3105 0.6923 0.0818 O
0.6895 0.3077 0.9182 O
0.3105 0.6923 0.4182 O
0.0267 0.9364 0.2500 Tm
0.4733 0.4364 0.2500 Tm
0.5267 0.5636 0.7500 Tm
0.9733 0.0636 0.7500 Tm


What did the fourth record say?
Tm2InO (PBE-GGA, optimized geometry); SG = No. 166; DOS(E_F) = 1.461 states/eV/cell; total DFT energy (no corrections) = -5.76 eV/atom; excess energy over the best structure of this formula in the dataset = 0.057 eV per atom; formation energy without anion corrections = -1.595 eV per atom
1.0
3.4791 0.0000 0.0000
1.7396 3.0130 0.0000
1.7396 1.0043 7.5831
In O Tm
1 1 2
direct
0.5000 0.5000 0.5000 In
0.0000 0.0000 0.0000 O
0.7237 0.7237 0.8289 Tm
0.2763 0.2763 0.1711 Tm


Q: Which value of DOS(E_F) does entry 10 give?
A: 0.000 states/eV/cell